## LaTcSe2 (PBE-GGA)

Data for a relaxed LaTcSe2 crystal.

Lattice parameters (Å, degrees): 5.5428 5.5428 14.2661 90.00 90.00 90.00
Closest atoms and distances in Å follow each position.
Element x y z (fractional)
1 La 0.0000 0.0000 0.0000  4 Se 2.91
2 La 0.0000 0.5000 0.2500  4 Se 2.91
3 La 0.5000 0.0000 0.7500  4 Se 2.91
4 La 0.5000 0.5000 0.5000  4 Se 2.91
5 Tc 0.0000 0.0000 0.5000  4 Se 2.44
6 Tc 0.0000 0.5000 0.7500  4 Se 2.44
7 Tc 0.5000 0.0000 0.2500  4 Se 2.44
8 Tc 0.5000 0.5000 0.0000  4 Se 2.44
9 Se 0.1683 0.2500 0.6250  2 Tc 2.44
10 Se 0.2500 0.6683 0.8750  2 Tc 2.44
11 Se 0.2500 0.8317 0.3750  2 Tc 2.44
12 Se 0.3317 0.2500 0.1250  2 Tc 2.44
13 Se 0.6683 0.7500 0.1250  2 Tc 2.44
14 Se 0.7500 0.1683 0.3750  2 Tc 2.44
15 Se 0.7500 0.3317 0.8750  2 Tc 2.44
16 Se 0.8317 0.7500 0.6250  2 Tc 2.44

Values from the calculation:
- symmetry = No. 122
- E above lowest polymorph (meV per atom) = 379.4
- magnetic moment (μB/f.u.) = 0.0
- final energy (eV/atom) = -6.149
- raw formation energy (eV/atom) = -0.583
- Fermi-level density of states (states/eV/atom) = 1.510